Here is crystalline MoW3O at its relaxed geometry from the Alexandria database. Energies are from GGA+U.

Computed properties:
Space-group type: Pm-3m, No. 221
Raw total energy, eV per formula unit: -19.6

abc: 5.1829 5.1829 5.1829
angles: 90.00 90.00 90.00
Site moments in Bohr magnetons follow the coordinates.
Fractional coordinates of all 5 atoms:
W 0.0000 0.5000 0.0000  2.88
W 0.0000 0.0000 0.5000  2.85
W 0.5000 0.0000 0.0000  2.98
Mo 0.0000 0.0000 0.0000  -2.66
O 0.5000 0.5000 0.5000  -0.60